TmReSi2 after structural relaxation, computed with PBE-GGA.

Lattice parameters (Å, degrees): 7.113 3.960 9.863 90.00 90.00 90.00
Space group Pnma (No. 62)
Unique sites:
Tm  0.147  0.250  0.131
Re  0.018  0.750  0.397
Si  0.150  0.250  0.812
Si  0.224  0.250  0.429

Computed properties:
Total magnetization, Bohr magnetons per cell: 0.0
Formation energy without anion corrections, meV per atom: -557
N(E_F), states/eV/cell: 9.217